[1]
Computed, not measured: crystalline NaSeCl6 at its relaxed geometry at the PBE level of DFT.

Summary:
The value obtained for the raw formation energy is -0.55 eV/atom. Its density is 2.19 Mg/m³. As for the energy above the lowest structure with this stoichiometry: 0 meV/atom.

Cell lengths 6.685, 6.685, 6.729 Å; angles 111.00, 111.00, 103.27 degrees
Atoms (fractional coordinates):
1 Na 0.000 0.000 0.000
2 Se 0.500 0.500 0.500
3 Cl 0.186 0.503 0.193
4 Cl 0.223 0.223 0.516
5 Cl 0.497 0.814 0.807
6 Cl 0.503 0.186 0.193
7 Cl 0.777 0.777 0.484
8 Cl 0.814 0.497 0.807

***

[2]
Computed, not measured: crystalline ZrZn2 at its relaxed geometry at the PBE level of DFT.

Summary:
Its density is 7.09 Mg/m³. Its energy relative to the elements is -0.2457 eV/atom.

Cell lengths 5.189, 5.189, 5.468 Å; angles 90.00, 90.00, 135.09 degrees
Atoms (fractional coordinates):
1 Zr 0.197 0.803 0.750
2 Zr 0.803 0.197 0.250
3 Zn 0.103 0.897 0.250
4 Zn 0.500 0.500 0.000
5 Zn 0.500 0.500 0.500
6 Zn 0.897 0.103 0.750

***

[3]
Computed, not measured: crystalline LaTcP2Pt at its relaxed geometry at the PBE level of DFT.

Summary:
Its density is 8.83 Mg/m³. Its energy relative to the elements is -0.9536 eV/atom.

Cell lengths 6.419, 6.419, 6.419 Å; angles 143.53, 143.53, 52.53 degrees
Atoms (fractional coordinates):
1 La 0.000 0.000 0.000
2 Tc 0.750 0.250 0.500
3 P 0.363 0.363 0.000
4 P 0.637 0.637 0.000
5 Pt 0.250 0.750 0.500

***

[4]
Computed, not measured: crystalline Pm4Nd3Y at its relaxed geometry at the PBE level of DFT.

Summary:
Its density is 6.55 Mg/m³. Its energy relative to the elements is 0.1464 eV/atom. As for the energy above the lowest structure with this stoichiometry: 117 meV/atom.

Cell lengths 12.046, 12.046, 6.935 Å; angles 106.71, 106.71, 16.85 degrees
Atoms (fractional coordinates):
1 Pm 0.124 0.124 0.365
2 Pm 0.258 0.258 0.756
3 Pm 0.742 0.742 0.244
4 Pm 0.876 0.876 0.635
5 Nd 0.000 0.000 0.500
6 Nd 0.125 0.125 0.885
7 Nd 0.875 0.875 0.115
8 Y 0.500 0.500 0.000

***

[5]
Computed, not measured: crystalline PuIF at its relaxed geometry at the PBE level of DFT.

Summary:
The value obtained for the raw formation energy is -2.07 eV/atom. Its density is 8.21 Mg/m³.

Cell lengths 7.427, 4.102, 10.356 Å; angles 90.00, 90.00, 90.00 degrees
Atoms (fractional coordinates):
1 Pu 0.199 0.250 0.091
2 Pu 0.301 0.750 0.591
3 Pu 0.699 0.250 0.409
4 Pu 0.801 0.750 0.909
5 I 0.043 0.750 0.327
6 I 0.457 0.250 0.827
7 I 0.543 0.750 0.173
8 I 0.957 0.250 0.673
9 F 0.116 0.750 0.980
10 F 0.384 0.250 0.480
11 F 0.616 0.750 0.520
12 F 0.884 0.250 0.020

***

[6]
Computed, not measured: crystalline Y2Er2Th at its relaxed geometry at the PBE level of DFT.

Summary:
Its density is 7.24 Mg/m³. Its energy relative to the elements is 0.4266 eV/atom. As for the energy above the lowest structure with this stoichiometry: 406 meV/atom.

Cell lengths 14.378, 11.830, 8.536 Å; angles 88.27, 55.33, 36.40 degrees
Atoms (fractional coordinates):
1 Y 0.042 0.708 0.042
2 Y 0.292 0.958 0.292
3 Y 0.708 0.042 0.708
4 Y 0.958 0.292 0.958
5 Er 0.000 0.500 0.500
6 Er 0.500 0.000 0.500
7 Er 0.500 0.500 0.000
8 Er 0.500 0.500 0.500
9 Th 0.375 0.375 0.375
10 Th 0.625 0.625 0.625

***

no.,total magnetic moment (μB/cell),E (eV/atom)
1,0.000,-2.533
2,0.000,-3.944
3,0.000,-7.384
4,0.000,-4.825
5,24.000,-7.988
6,0.000,-5.468